[1]
A relaxed structure of KMn2Co, computed with PBE.

Summary:
E above lowest polymorph ... 5.07 eV per formula unit
Energy of formation from the pure elements ... 1.8413 eV/atom

Cell lengths 4.276, 4.276, 4.276 Å; angles 60.00, 60.00, 60.00 degrees
Sites, in units of the cell vectors:
K (0.000, 0.000, 0.000)
Mn (0.250, 0.250, 0.250)
Mn (0.750, 0.750, 0.750)
Co (0.500, 0.500, 0.500)

[2]
A relaxed structure of KMn2Co, computed with PBE.

Summary:
E above lowest polymorph ... 0.96 eV per formula unit
Energy of formation from the pure elements ... 0.8152 eV/atom

Cell lengths 9.999, 9.999, 9.999 Å; angles 16.64, 16.64, 16.64 degrees
Site moments in Bohr magnetons follow the coordinates.
Sites, in units of the cell vectors:
Co (0.250, 0.250, 0.250)  1.67
K (0.750, 0.750, 0.750)  -0.05
Mn (0.520, 0.520, 0.520)  3.44
Mn (0.980, 0.980, 0.980)  3.44

[3]
A relaxed structure of KMn2Co, computed with PBE.

Summary:
E above lowest polymorph ... 0.00 eV per formula unit
Energy of formation from the pure elements ... 0.5743 eV/atom

Cell lengths 3.016, 3.016, 8.622 Å; angles 90.00, 90.00, 90.00 degrees
Site moments in Bohr magnetons follow the coordinates.
Sites, in units of the cell vectors:
Co (0.500, 0.500, 0.250)  1.52
K (0.500, 0.500, 0.750)  0.00
Mn (0.000, 0.000, 0.408)  3.64
Mn (0.000, 0.000, 0.092)  3.64

Q: Among the records above, which one has the lowest E above lowest polymorph?
A: number 3